(1)
DFT (PBE-GGA) results for a relaxed structure of MgBiRuN2.

Volume ... 89 Å³/cell
Energy relative to the elements, uncorrected ... 17.0 kcal/mol of atoms
Symmetry ... P4/mmm (123)
N(E_F) ... 0.645 states/eV per atom
Final energy ... -27.72 eV per cell
Theoretical density ... 6.7 Mg/m³

a = 3.9062 Å, b = 3.9062 Å, c = 5.8604 Å
α = 90.00°, β = 90.00°, γ = 90.00°
Sites, in units of the cell vectors:
Mg  0.0000  0.0000  0.0000
Bi  0.5000  0.5000  0.0000
Ru  0.5000  0.5000  0.5000
N  0.0000  0.5000  0.5000
N  0.5000  0.0000  0.5000


(2)
DFT (PBE-GGA) results for a relaxed structure of MgBiS2N.

Volume ... 116 Å³/cell
Energy relative to the elements, uncorrected ... 16.1 kcal/mol of atoms
Symmetry ... P4/mmm (123)
N(E_F) ... 1.113 states/eV per atom
Final energy ... -18.57 eV per cell
Theoretical density ... 4.5 Mg/m³

a = 5.2484 Å, b = 5.2484 Å, c = 4.2081 Å
α = 90.00°, β = 90.00°, γ = 90.00°
Sites, in units of the cell vectors:
Mg  0.0000  0.0000  0.0000
Bi  0.5000  0.5000  0.5000
S  0.0000  0.5000  0.5000
S  0.5000  0.0000  0.5000
N  0.5000  0.5000  0.0000


(3)
DFT (PBE-GGA) results for a relaxed structure of MgBiS2N.

Volume ... 98 Å³/cell
Energy relative to the elements, uncorrected ... 7.9 kcal/mol of atoms
Symmetry ... P4/mmm (123)
N(E_F) ... 0.292 states/eV per atom
Final energy ... -20.34 eV per cell
Theoretical density ... 5.3 Mg/m³

a = 4.9641 Å, b = 4.9641 Å, c = 3.9939 Å
α = 90.00°, β = 90.00°, γ = 90.00°
Sites, in units of the cell vectors:
Mg  0.0000  0.0000  0.0000
Bi  0.5000  0.5000  0.5000
S  0.0000  0.5000  0.0000
S  0.5000  0.0000  0.0000
N  0.0000  0.0000  0.5000


(4)
DFT (PBE-GGA) results for a relaxed structure of MgSc2BiN.

Volume ... 91 Å³/cell
Energy relative to the elements, uncorrected ... -18.8 kcal/mol of atoms
Symmetry ... P4/mmm (123)
N(E_F) ... 0.747 states/eV per atom
Final energy ... -30.53 eV per cell
Theoretical density ... 6.1 Mg/m³

a = 4.5472 Å, b = 4.5472 Å, c = 4.4080 Å
α = 90.00°, β = 90.00°, γ = 90.00°
Sites, in units of the cell vectors:
Mg  0.0000  0.0000  0.0000
Sc  0.0000  0.5000  0.5000
Sc  0.5000  0.0000  0.5000
Bi  0.5000  0.5000  0.0000
N  0.0000  0.0000  0.5000


(5)
DFT (PBE-GGA) results for a relaxed structure of MgBiSeN2.

Volume ... 108 Å³/cell
Energy relative to the elements, uncorrected ... 25.9 kcal/mol of atoms
Symmetry ... P4/mmm (123)
N(E_F) ... 0.621 states/eV per atom
Final energy ... -20.00 eV per cell
Theoretical density ... 5.2 Mg/m³

a = 4.2408 Å, b = 4.2408 Å, c = 6.0043 Å
α = 90.00°, β = 90.00°, γ = 90.00°
Sites, in units of the cell vectors:
Mg  0.0000  0.0000  0.0000
Bi  0.5000  0.5000  0.5000
Se  0.5000  0.5000  0.0000
N  0.0000  0.5000  0.5000
N  0.5000  0.0000  0.5000


(6)
DFT (PBE-GGA) results for a relaxed structure of MgBi2SeN.

Volume ... 129 Å³/cell
Energy relative to the elements, uncorrected ... 17.1 kcal/mol of atoms
Symmetry ... P4/mmm (123)
N(E_F) ... 0.726 states/eV per atom
Final energy ... -17.47 eV per cell
Theoretical density ... 6.9 Mg/m³

a = 5.9163 Å, b = 5.9163 Å, c = 3.6949 Å
α = 90.00°, β = 90.00°, γ = 90.00°
Sites, in units of the cell vectors:
Mg  0.0000  0.0000  0.0000
Bi  0.0000  0.5000  0.5000
Bi  0.5000  0.0000  0.5000
Se  0.5000  0.5000  0.5000
N  0.5000  0.5000  0.0000